Entry 1:
This record from Alexandria describes an optimized crystal structure of GaBi2Ir. The functional is GGA-PBE.

N(E_F) (states/eV per cell): 4.4
Space-group type: I-42d

a b c (Å): 6.3794 6.3794 7.7588
angles (deg): 65.73 65.73 90.00
Atoms (fractional coordinates):
Ir: 0.0000 0.0000 0.0000
Ir: 0.7500 0.2500 0.5000
Bi: 0.6551 0.1250 0.2500
Bi: 0.0949 0.6250 0.2500
Bi: 0.3750 0.3449 0.7500
Bi: 0.8750 0.9051 0.7500
Ga: 0.5000 0.5000 0.0000
Ga: 0.2500 0.7500 0.5000

***

Entry 2:
This record from Alexandria describes an optimized crystal structure of Ga3BiIr. The functional is GGA-PBE.

N(E_F) (states/eV per cell): 4.5
Space-group type: Pm-3m

a b c (Å): 4.8727 4.8727 4.8727
angles (deg): 90.00 90.00 90.00
Atoms (fractional coordinates):
Ir: 0.0000 0.0000 0.0000
Bi: 0.5000 0.5000 0.5000
Ga: 0.0000 0.5000 0.0000
Ga: 0.0000 0.0000 0.5000
Ga: 0.5000 0.0000 0.0000

***

Entry 3:
This record from Alexandria describes an optimized crystal structure of Ga2BiIr. The functional is GGA-PBE.

N(E_F) (states/eV per cell): 1.0
Space-group type: I-42d

a b c (Å): 5.9744 5.9744 7.4156
angles (deg): 66.25 66.25 90.00
Atoms (fractional coordinates):
Ir: 0.5000 0.5000 0.0000
Ir: 0.2500 0.7500 0.5000
Bi: 0.0000 0.0000 0.0000
Bi: 0.7500 0.2500 0.5000
Ga: 0.5627 0.1250 0.2500
Ga: 0.1873 0.6250 0.2500
Ga: 0.3750 0.4373 0.7500
Ga: 0.8750 0.8127 0.7500

***

Entry 4:
This record from Alexandria describes an optimized crystal structure of GaBi2Ir2. The functional is GGA-PBE.

N(E_F) (states/eV per cell): 6.6
Space-group type: P4/mbm

a b c (Å): 8.3076 8.3076 3.1756
angles (deg): 90.00 90.00 90.00
Atoms (fractional coordinates):
Ir: 0.1311 0.6311 0.5000
Ir: 0.6311 0.8689 0.5000
Ir: 0.8689 0.3689 0.5000
Ir: 0.3689 0.1311 0.5000
Bi: 0.3425 0.8425 0.0000
Bi: 0.8425 0.6575 0.0000
Bi: 0.6575 0.1575 0.0000
Bi: 0.1575 0.3425 0.0000
Ga: 0.0000 0.0000 0.0000
Ga: 0.5000 0.5000 0.0000

***

Entry 5:
This record from Alexandria describes an optimized crystal structure of GaBi2Ir. The functional is GGA-PBE.

N(E_F) (states/eV per cell): 3.0
Space-group type: R-3m

a b c (Å): 3.2121 3.2121 11.1982
angles (deg): 81.75 81.75 60.00
Atoms (fractional coordinates):
Ir: 0.0000 0.0000 0.0000
Bi: 0.0804 0.0804 0.7589
Bi: 0.9196 0.9196 0.2411
Ga: 0.5000 0.5000 0.5000

***

Entry 6:
This record from Alexandria describes an optimized crystal structure of GaBiIr3. The functional is GGA-PBE.

N(E_F) (states/eV per cell): 9.7
Space-group type: Pm-3m

a b c (Å): 5.0348 5.0348 5.0348
angles (deg): 90.00 90.00 90.00
Each line ends with the local moment (μB).
Atoms (fractional coordinates):
Ir: 0.0000 0.5000 0.0000  0.56
Ir: 0.0000 0.0000 0.5000  0.46
Ir: 0.5000 0.0000 0.0000  0.62
Bi: 0.0000 0.0000 0.0000  -0.02
Ga: 0.5000 0.5000 0.5000  0.10

***

Entry 7:
This record from Alexandria describes an optimized crystal structure of Ga2BiIr2. The functional is GGA-PBE.

N(E_F) (states/eV per cell): 2.3
Space-group type: P4/mbm

a b c (Å): 7.6530 7.6530 2.9631
angles (deg): 90.00 90.00 90.00
Atoms (fractional coordinates):
Ir: 0.3484 0.8484 0.0000
Ir: 0.8484 0.6516 0.0000
Ir: 0.6516 0.1516 0.0000
Ir: 0.1516 0.3484 0.0000
Bi: 0.0000 0.0000 0.0000
Bi: 0.5000 0.5000 0.0000
Ga: 0.1404 0.6404 0.5000
Ga: 0.6404 0.8596 0.5000
Ga: 0.8596 0.3596 0.5000
Ga: 0.3596 0.1404 0.5000

***

Entry 8:
This record from Alexandria describes an optimized crystal structure of GaBiIr. The functional is GGA-PBE.

N(E_F) (states/eV per cell): 2.0
Space-group type: F-43m

a b c (Å): 4.5170 4.5170 4.5170
angles (deg): 60.00 60.00 60.00
Atoms (fractional coordinates):
Ir: 0.2500 0.2500 0.2500
Bi: 0.0000 0.0000 0.0000
Ga: 0.5000 0.5000 0.5000

***

| no. | energy relative to the elements (eV per atom) |
| --- | --- |
| 1 | 0.3724 |
| 2 | -0.0194 |
| 3 | 0.2569 |
| 4 | 0.4790 |
| 5 | 0.5727 |
| 6 | 2.0139 |
| 7 | -0.1612 |
| 8 | -0.0817 |